SmPuCu2 | GGA-PBE | relaxed

POSCAR file:
```
SmPuCu2
1.0
7.034 0.000 0.000
0.000 7.034 0.000
0.000 0.000 7.034
Sm Pu Cu
4 4 8
direct
0.000 0.000 0.000
0.000 0.500 0.500
0.500 0.000 0.500
0.500 0.500 0.000
0.000 0.000 0.500
0.000 0.500 0.000
0.500 0.000 0.000
0.500 0.500 0.500
0.250 0.250 0.250
0.250 0.250 0.750
0.250 0.750 0.250
0.250 0.750 0.750
0.750 0.250 0.250
0.750 0.250 0.750
0.750 0.750 0.250
0.750 0.750 0.750
```

Computed properties:
- ΔH_f (0 K): 15 meV per atom
- E above lowest polymorph: 33.4 meV per atom
- Total magnetization: 5.7 μB/f.u.
- Volume: 21.8 A^3/atom